Entry 1:
# Sr2CoBr2O2 SCAN single point on PBEsol structure
# - Fermi-level density of states (states/eV/f.u.) = 0.8
# - ΔE_f (raw) (eV/atom) = -2.20
# - raw total energy (eV per atom) = -18.381
data_Sr2CoBr2O2
_chemical_formula_sum 'Sr4 Co2 Br4 O4'
_space_group_name_H-M_alt 'I 4/m m m'
_space_group_IT_number 139
_space_group_name_Hall '-I 4 2'
_cell_length_a 3.8571
_cell_length_b 3.8571
_cell_length_c 18.5118
_cell_angle_alpha 90.00
_cell_angle_beta 90.00
_cell_angle_gamma 90.00
loop_
_atom_site_label
_atom_site_type_symbol
_atom_site_fract_x
_atom_site_fract_y
_atom_site_fract_z
Sr1 Sr 0.0000 0.0000 0.0942
Co1 Co 0.0000 0.0000 0.5000
Br1 Br 0.0000 0.0000 0.3242
O1 O 0.0000 0.5000 0.0000

***

Entry 2:
# Co2OsBr SCAN single point on PBEsol structure
# - Fermi-level density of states (states/eV/f.u.) = 4.3
# - ΔE_f (raw) (eV/atom) = 0.92
# - offset from the most stable computed form (meV per atom) = 244
# - raw total energy (eV per atom) = -30.563
data_Co2OsBr
_chemical_formula_sum 'Co4 Os2 Br2'
_space_group_name_H-M_alt 'C 1 2/m 1'
_space_group_IT_number 12
_space_group_name_Hall '-C 2y'
_cell_length_a 6.1492
_cell_length_b 2.7002
_cell_length_c 7.7167
_cell_angle_alpha 90.00
_cell_angle_beta 110.11
_cell_angle_gamma 90.00
loop_
_atom_site_label
_atom_site_type_symbol
_atom_site_fract_x
_atom_site_fract_y
_atom_site_fract_z
Co1 Co 0.1836 0.0000 0.2890
Os1 Os 0.0000 0.0000 0.5000
Br1 Br 0.0000 0.5000 0.0000